Tb2MgNb (GGA-PBE, optimized geometry); energy above the most stable polymorph in this dataset = 0 meV/atom; final energy = -20.3 eV for the cell shown; density of states at the Fermi level = 1.42 states/eV per atom; spin magnetization = 0.00 μB/atom; formation energy from the elements = 15 kJ/mol of atoms
1.0
3.3141 0.0000 0.0000
0.0000 3.3141 0.0000
0.0000 0.0000 9.3882
Mg Tb Nb
1 2 1
Direct
0.5000 0.5000 0.5000 Mg
0.0000 0.0000 0.2307 Tb
0.0000 0.0000 0.7693 Tb
0.5000 0.5000 0.0000 Nb